1 | CoTeMo | GGA-PBE | optimized geometry

Space group: P-6m2
Mass density in g/cm3: 9.6
Spin magnetization in μB/f.u.: 1.77
Fermi-level density of states in states/eV per cell: 3.4
Crystal system: hexagonal

a = 4.2138 Å, b = 4.2138 Å, c = 3.1722 Å
α = 90.00°, β = 90.00°, γ = 120.00°
Site moments in Bohr magnetons follow the coordinates.
Fractional positions:
Mo 0.3333 0.6667 0.3336  0.94
Co 0.0000 0.0000 0.8329  0.78
Te 0.6667 0.3333 0.8336  -0.03

2 | CoTeMo | GGA-PBE | optimized geometry

Space group: F-43m
Mass density in g/cm3: 8.8
Spin magnetization in μB/f.u.: 2.92
Fermi-level density of states in states/eV per cell: 3.2
Crystal system: cubic

a = 4.2283 Å, b = 4.2283 Å, c = 4.2283 Å
α = 60.00°, β = 60.00°, γ = 60.00°
Site moments in Bohr magnetons follow the coordinates.
Fractional positions:
Co 0.7500 0.7500 0.7500  0.95
Mo 0.0000 0.0000 0.0000  1.69
Te 0.5000 0.5000 0.5000  0.02

3 | CoTeMo | GGA-PBE | optimized geometry

Space group: P3m1
Mass density in g/cm3: 9.1
Spin magnetization in μB/f.u.: 0.00
Fermi-level density of states in states/eV per cell: 4.2
Crystal system: trigonal

a = 3.1760 Å, b = 3.1760 Å, c = 5.8947 Å
α = 90.00°, β = 90.00°, γ = 120.00°
Fractional positions:
Co 0.0000 0.0000 0.0215
Te 0.3333 0.6667 0.6737
Mo 0.6667 0.3333 0.3048

4 | CoTeMo | GGA-PBE | optimized geometry

Space group: P-6m2
Mass density in g/cm3: 8.5
Spin magnetization in μB/f.u.: 0.12
Fermi-level density of states in states/eV per cell: 5.5
Crystal system: hexagonal

a = 3.7578 Å, b = 3.7575 Å, c = 9.0747 Å
α = 90.00°, β = 90.00°, γ = 120.00°
Site moments in Bohr magnetons follow the coordinates.
Fractional positions:
Te 0.2778 0.5555 0.8255  0.00
Te 0.2778 0.5555 0.1745  0.00
Mo 0.6111 0.2222 0.3646  -0.03
Mo 0.6111 0.2222 0.6354  -0.03
Co 0.2778 0.5555 0.5000  -0.10
Co 0.6111 0.2222 0.0000  0.43

Verdict on stability: 3 comes out at the bottom.

1 | Ti3CoMo | GGA-PBE | optimized geometry

Space group: Pm-3m
Mass density in g/cm3: 5.7
Spin magnetization in μB/f.u.: 0.00
Fermi-level density of states in states/eV per cell: 8.2
Crystal system: cubic

a = 4.4193 Å, b = 4.4193 Å, c = 4.4193 Å
α = 90.00°, β = 90.00°, γ = 90.00°
Fractional positions:
Ti 0.5000 0.0000 0.0000
Ti 0.0000 0.5000 0.0000
Ti 0.0000 0.0000 0.5000
Co 0.0000 0.0000 0.0000
Mo 0.5000 0.5000 0.5000

2 | Ti3CoMo | GGA-PBE | optimized geometry

Space group: Pm-3m
Mass density in g/cm3: 5.0
Spin magnetization in μB/f.u.: 0.00
Fermi-level density of states in states/eV per cell: 13.1
Crystal system: cubic

a = 4.6379 Å, b = 4.6379 Å, c = 4.6379 Å
α = 90.00°, β = 90.00°, γ = 90.00°
Fractional positions:
Mo 0.0000 0.0000 0.0000
Co 0.5000 0.5000 0.5000
Ti 0.0000 0.5000 0.0000
Ti 0.5000 0.0000 0.0000
Ti 0.0000 0.0000 0.5000

Verdict on stability: 2 comes out at the bottom.

1 | TiVCoMo | GGA-PBE | optimized geometry

Space group: F-43m
Mass density in g/cm3: 7.7
Spin magnetization in μB/f.u.: 0.00
Fermi-level density of states in states/eV per cell: 2.7
Crystal system: cubic

a = 4.2672 Å, b = 4.2672 Å, c = 4.2672 Å
α = 60.00°, β = 60.00°, γ = 60.00°
Fractional positions:
Co 0.0000 0.0000 0.0000
Mo 0.5000 0.5000 0.5000
V 0.7500 0.7500 0.7500
Ti 0.2500 0.2500 0.2500

2 | TiVCoMo | GGA-PBE | optimized geometry

Space group: P4mm
Mass density in g/cm3: 7.6
Spin magnetization in μB/f.u.: 0.00
Fermi-level density of states in states/eV per cell: 3.5
Crystal system: tetragonal

a = 3.0510 Å, b = 3.0510 Å, c = 5.9847 Å
α = 90.00°, β = 90.00°, γ = 90.00°
Fractional positions:
Ti 0.5000 0.5000 0.1169
Co 0.0000 0.0000 0.3610
V 0.5000 0.5000 0.6046
Mo 0.0000 0.0000 0.8454

Verdict on stability: 2 comes out at the bottom.

1 | TlCoMo2 | GGA-PBE | optimized geometry

Space group: R3m
Mass density in g/cm3: 11.4
Spin magnetization in μB/f.u.: 0.55
Fermi-level density of states in states/eV per cell: 4.9
Crystal system: trigonal

a = 9.2031 Å, b = 9.2031 Å, c = 9.2031 Å
α = 18.17°, β = 18.17°, γ = 18.17°
Site moments in Bohr magnetons follow the coordinates.
Fractional positions:
Mo 0.0075 0.0075 0.0075  -0.03
Mo 0.2546 0.2546 0.2546  0.01
Co 0.7437 0.7437 0.7437  0.58
Tl 0.4942 0.4942 0.4942  0.00

2 | TlCoMo2 | GGA-PBE | optimized geometry

Space group: Pmmm
Mass density in g/cm3: 11.8
Spin magnetization in μB/f.u.: 1.24
Fermi-level density of states in states/eV per cell: 4.8
Crystal system: orthorhombic

a = 3.7285 Å, b = 3.9045 Å, c = 4.3907 Å
α = 90.00°, β = 90.00°, γ = 90.00°
Site moments in Bohr magnetons follow the coordinates.
Fractional positions:
Mo 0.5000 0.5000 0.0000  0.15
Mo 0.0000 0.0000 0.0000  0.04
Tl 0.5000 0.0000 0.5000  -0.01
Co 0.0000 0.5000 0.5000  1.06

Verdict on stability: 1 comes out at the bottom.

1 | V2Co9Mo | GGA-PBE | optimized geometry

Space group: P4/mmm
Mass density in g/cm3: 9.1
Spin magnetization in μB/f.u.: 0.02
Fermi-level density of states in states/eV per cell: 11.8
Crystal system: tetragonal

a = 3.5415 Å, b = 3.5415 Å, c = 10.6173 Å
α = 90.00°, β = 90.00°, γ = 90.00°
Fractional positions:
Mo 0.0000 0.0000 0.0000
Co 0.5000 0.0000 0.8293
Co 0.0000 0.5000 0.1707
Co 0.0000 0.5000 0.8293
Co 0.5000 0.0000 0.1707
Co 0.5000 0.5000 0.3348
Co 0.5000 0.5000 0.6652
Co 0.0000 0.5000 0.5000
Co 0.5000 0.5000 0.0000
Co 0.5000 0.0000 0.5000
V 0.0000 0.0000 0.3369
V 0.0000 0.0000 0.6631

2 | V2Co9Mo | GGA-PBE | optimized geometry

Space group: R3m
Mass density in g/cm3: 9.1
Spin magnetization in μB/f.u.: 1.51
Fermi-level density of states in states/eV per cell: 12.0
Crystal system: trigonal

a = 6.7453 Å, b = 6.7453 Å, c = 6.7453 Å
α = 43.77°, β = 43.77°, γ = 43.77°
Site moments in Bohr magnetons follow the coordinates.
Fractional positions:
Co 0.2820 0.2820 0.7685  0.19
Co 0.0022 0.4977 0.4977  0.29
Co 0.4977 0.4977 0.0022  0.29
Co 0.7187 0.7187 0.2334  0.22
Co 0.4977 0.0022 0.4977  0.29
Co 0.2334 0.7187 0.7187  0.22
Co 0.2820 0.7685 0.2820  0.19
Co 0.7685 0.2820 0.2820  0.19
Co 0.7187 0.2334 0.7187  0.22
V 0.2180 0.2180 0.2180  -0.21
V 0.0005 0.0005 0.0005  -0.21
Mo 0.7807 0.7807 0.7807  -0.11

Verdict on stability: 1 comes out at the bottom.

1 | VCo4Mo | GGA-PBE | optimized geometry

Space group: Imma
Mass density in g/cm3: 8.8
Spin magnetization in μB/f.u.: 3.87
Fermi-level density of states in states/eV per cell: 19.4
Crystal system: orthorhombic

a = 4.2679 Å, b = 7.9557 Å, c = 6.2121 Å
α = 129.82°, β = 110.09°, γ = 90.00°
Site moments in Bohr magnetons follow the coordinates.
Fractional positions:
Co 0.7551 0.5924 0.5103  0.97
Co 0.4949 0.1576 0.9897  0.97
Co 0.0057 0.3369 0.0113  1.21
Co 0.0056 0.6744 0.0113  1.21
Co 0.7552 0.9180 0.5103  0.97
Co 0.2444 0.0756 0.4887  1.21
Co 0.4948 0.8320 0.9897  0.97
Co 0.2443 0.4131 0.4887  1.21
Mo 0.5003 0.5003 0.0005  0.00
Mo 0.7497 0.2497 0.4995  0.00
V 0.2520 0.7520 0.5040  -0.43
V 0.9980 0.9980 0.9960  -0.43

2 | VCo4Mo | GGA-PBE | optimized geometry

Space group: F-43m
Mass density in g/cm3: 8.9
Spin magnetization in μB/f.u.: 3.43
Fermi-level density of states in states/eV per cell: 10.6
Crystal system: cubic

a = 4.6494 Å, b = 4.6494 Å, c = 4.6494 Å
α = 60.00°, β = 60.00°, γ = 60.00°
Site moments in Bohr magnetons follow the coordinates.
Fractional positions:
Co 0.6253 0.1240 0.6253  0.68
Co 0.6253 0.6253 0.6253  0.68
Co 0.6253 0.6253 0.1240  0.68
Co 0.1240 0.6253 0.6253  0.68
V 0.0000 0.0000 0.0000  0.44
Mo 0.2500 0.2500 0.2500  0.18

Verdict on stability: 1 comes out at the bottom.

1 | V3CoMo | GGA-PBE | optimized geometry

Space group: Cm
Mass density in g/cm3: 7.7
Spin magnetization in μB/f.u.: 0.85
Fermi-level density of states in states/eV per cell: 11.4
Crystal system: monoclinic

a = 6.5149 Å, b = 4.2205 Å, c = 4.9490 Å
α = 90.00°, β = 77.87°, γ = 90.00°
Site moments in Bohr magnetons follow the coordinates.
Fractional positions:
Mo 0.4752 0.4264 0.6995  0.00
Mo 0.9752 0.9264 0.1995  0.00
V 0.0763 0.4264 0.9015  0.11
V 0.2761 0.4264 0.3023  0.09
V 0.7761 0.9264 0.8023  0.09
V 0.8752 0.4264 0.5007  0.03
V 0.3752 0.9264 0.0007  0.03
V 0.5763 0.9264 0.4015  0.11
Co 0.6753 0.4264 0.0999  0.64
Co 0.1753 0.9264 0.5999  0.64

2 | V3CoMo | GGA-PBE | optimized geometry

Space group: Pm-3m
Mass density in g/cm3: 6.6
Spin magnetization in μB/f.u.: 0.00
Fermi-level density of states in states/eV per cell: 9.0
Crystal system: cubic

a = 4.2657 Å, b = 4.2657 Å, c = 4.2657 Å
α = 90.00°, β = 90.00°, γ = 90.00°
Fractional positions:
V 0.0000 0.5000 0.0000
V 0.5000 0.0000 0.0000
V 0.0000 0.0000 0.5000
Co 0.0000 0.0000 0.0000
Mo 0.5000 0.5000 0.5000

Verdict on stability: 2 comes out at the bottom.

1 | Co2MoW | GGA-PBE | optimized geometry

Space group: P4/mmm
Mass density in g/cm3: 12.6
Spin magnetization in μB/f.u.: 0.00
Fermi-level density of states in states/eV per cell: 2.3
Crystal system: tetragonal

a = 3.7603 Å, b = 3.7596 Å, c = 3.7036 Å
α = 90.00°, β = 90.00°, γ = 90.00°
Fractional positions:
Co 0.0000 0.0000 0.0000
Co 0.5000 0.5000 0.0000
W 0.0000 0.5000 0.5000
Mo 0.5000 0.0000 0.5000

2 | Co2MoW | GGA-PBE | optimized geometry

Space group: Cmm2
Mass density in g/cm3: 12.2
Spin magnetization in μB/f.u.: 2.55
Fermi-level density of states in states/eV per cell: 4.1
Crystal system: orthorhombic

a = 2.6488 Å, b = 2.6488 Å, c = 7.8069 Å
α = 90.00°, β = 90.00°, γ = 99.54°
Site moments in Bohr magnetons follow the coordinates.
Fractional positions:
Co 0.5000 0.5000 0.2273  1.38
Co 0.0000 0.0000 0.0214  1.27
Mo 0.0000 0.0000 0.4783  -0.02
W 0.5000 0.5000 0.7730  -0.02

Verdict on stability: 2 comes out at the bottom.

1 | Co3MoW | GGA-PBE | optimized geometry

Space group: C2/m
Mass density in g/cm3: 12.0
Spin magnetization in μB/f.u.: 0.00
Fermi-level density of states in states/eV per cell: 13.6
Crystal system: monoclinic

a = 4.5649 Å, b = 4.7456 Å, c = 6.5163 Å
α = 111.35°, β = 75.19°, γ = 90.00°
Fractional positions:
Co 0.6465 0.8976 0.3022
Co 0.5000 0.0000 0.0000
Co 0.3535 0.1024 0.6978
Co 0.6465 0.4046 0.3022
Co 0.3535 0.5954 0.6978
Co 0.0000 0.0000 0.0000
Mo 0.7908 0.4438 0.8877
Mo 0.2092 0.5562 0.1123
W 0.1128 0.1984 0.3969
W 0.8872 0.8016 0.6031

2 | Co3MoW | GGA-PBE | optimized geometry

Space group: Pm-3m
Mass density in g/cm3: 9.1
Spin magnetization in μB/f.u.: 3.47
Fermi-level density of states in states/eV per cell: 6.8
Crystal system: cubic

a = 4.3746 Å, b = 4.3746 Å, c = 4.3746 Å
α = 90.00°, β = 90.00°, γ = 90.00°
Site moments in Bohr magnetons follow the coordinates.
Fractional positions:
Co 0.5000 0.0000 0.0000  0.43
Co 0.0000 0.5000 0.0000  0.35
Co 0.0000 0.0000 0.5000  0.34
Mo 0.5000 0.5000 0.5000  2.20
W 0.0000 0.0000 0.0000  -0.18

Verdict on stability: 2 comes out at the bottom.

1 | Co6MoW | GGA-PBE | optimized geometry

Space group: Cmmm
Mass density in g/cm3: 11.3
Spin magnetization in μB/f.u.: 1.38
Fermi-level density of states in states/eV per cell: 25.8
Crystal system: orthorhombic

a = 6.2274 Å, b = 6.2274 Å, c = 10.1574 Å
α = 90.00°, β = 90.00°, γ = 109.40°
Site moments in Bohr magnetons follow the coordinates.
Fractional positions:
Co 0.3750 0.1247 0.1251  0.29
Co 0.3747 0.1250 0.6249  0.29
Co 0.3750 0.1247 0.3749  0.29
Co 0.1247 0.3750 0.1251  0.29
Co 0.1250 0.3747 0.6249  0.29
Co 0.7502 0.2498 0.0002  0.28
Co 0.6253 0.8750 0.6249  0.29
Co 0.6254 0.8750 0.8751  0.29
Co 0.2498 0.7502 0.0002  0.28
Co 0.8750 0.6254 0.8751  0.29
Co 0.0000 0.0000 0.2500  0.30
Co 0.0000 0.0000 0.7500  0.29
Co 0.3746 0.1250 0.8751  0.29
Co 0.6250 0.8753 0.3749  0.29
Co 0.1247 0.3750 0.3749  0.29
Co 0.8753 0.6250 0.1251  0.29
Co 0.8753 0.6250 0.3749  0.29
Co 0.8750 0.6253 0.6249  0.29
Co 0.1250 0.3746 0.8751  0.29
Co 0.2498 0.7502 0.4998  0.28
Co 0.6250 0.8753 0.1251  0.29
Co 0.7502 0.2498 0.4998  0.28
Co 0.5000 0.5000 0.2500  0.28
Co 0.5000 0.5000 0.7500  0.27
W 0.5000 0.5000 0.4997  -0.13
W 0.7501 0.2499 0.7500  -0.12
W 0.2499 0.7501 0.7500  -0.12
W 0.5000 0.5000 0.0003  -0.13
Mo 0.2498 0.7502 0.2500  -0.16
Mo 0.0000 0.0000 0.0004  -0.16
Mo 0.0000 0.0000 0.4996  -0.16
Mo 0.7502 0.2498 0.2500  -0.16

2 | Co6MoW | GGA-PBE | optimized geometry

Space group: P-6m2
Mass density in g/cm3: 11.4
Spin magnetization in μB/f.u.: 1.68
Fermi-level density of states in states/eV per cell: 7.0
Crystal system: hexagonal

a = 4.0888 Å, b = 5.1121 Å, c = 5.1121 Å
α = 120.00°, β = 90.00°, γ = 90.00°
Site moments in Bohr magnetons follow the coordinates.
Fractional positions:
Co 0.5000 0.9114 0.5730  0.36
Co 0.0000 0.5876 0.9253  0.35
Co 0.0000 0.0747 0.4124  0.35
Co 0.5000 0.9114 0.0886  0.36
Co 0.5000 0.4270 0.0886  0.36
Co 0.0000 0.5876 0.4124  0.35
Mo 0.5000 0.4166 0.5834  -0.22
W 0.0000 0.0833 0.9167  -0.17

Verdict on stability: 1 comes out at the bottom.